BaAg2Rh | PBE | relaxed

Properties
- Space group: I-42d
- E above lowest polymorph: 234 meV per atom
- Calculated formation energy: 174 meV per atom

Unit cell a=4.9102 b=4.9102 c=10.0806 alpha=75.90 beta=75.90 gamma=90.00
Last column: nearest neighbours and their distance in Å.
Sites, in units of the cell vectors:
Ag 0.8750 0.7220 0.7500  2 Ag 2.63, 2 Rh 2.71
Ag 0.3750 0.5280 0.7500  2 Ag 2.63, 2 Rh 2.71
Ag 0.4720 0.1250 0.2500  2 Ag 2.63, 2 Rh 2.71
Ag 0.2780 0.6250 0.2500  2 Ag 2.63, 2 Rh 2.71
Ba 0.7500 0.2500 0.5000  4 Ag 3.32, 4 Rh 3.47
Ba 0.0000 0.0000 0.0000  4 Ag 3.32, 4 Rh 3.47
Rh 0.5000 0.5000 0.0000  4 Ag 2.71
Rh 0.2500 0.7500 0.5000  4 Ag 2.71

---

Sr2SbRuBr | PBE | relaxed

Properties
- Space group: P4/mmm
- Formation energy without anion corrections: 0.525 eV per atom

Unit cell a=6.3225 b=5.5697 c=6.3225 alpha=90.00 beta=90.00 gamma=90.00
Last column: nearest neighbours and their distance in Å.
Sites, in units of the cell vectors:
Sr 0.5000 0.0000 0.0000  2 Sb 3.16
Sr 0.0000 0.0000 0.5000  2 Sb 3.16
Br 0.0000 0.5000 0.0000  2 Sb 2.78
Ru 0.5000 0.5000 0.5000  8 Sr 4.21, 4 Br 4.47
Sb 0.0000 0.0000 0.0000  2 Br 2.78

---

CeAlSi6Pt2 | PBE | relaxed

Properties
- Space group: R-3
- Formation energy without anion corrections: 0.063 eV per atom

Unit cell a=4.8904 b=4.8904 c=10.2853 alpha=76.25 beta=76.25 gamma=60.00
Last column: nearest neighbours and their distance in Å.
Sites, in units of the cell vectors:
Si 0.7706 0.1932 0.7092  1 Pt 2.41, 4 Si 2.46-2.56, 1 Al 2.54
Si 0.8068 0.6729 0.2908  1 Pt 2.41, 4 Si 2.46-2.56, 1 Al 2.54
Si 0.6729 0.2294 0.2908  1 Pt 2.41, 4 Si 2.46-2.56, 1 Al 2.54
Si 0.3271 0.7706 0.7092  1 Pt 2.41, 4 Si 2.46-2.56, 1 Al 2.54
Si 0.1932 0.3271 0.7092  1 Pt 2.41, 4 Si 2.46-2.56, 1 Al 2.54
Si 0.2294 0.8068 0.2908  1 Pt 2.41, 4 Si 2.46-2.56, 1 Al 2.54
Al 0.5000 0.5000 0.5000  6 Si 2.54
Ce 0.0000 0.0000 0.0000  6 Si 3.21, 6 Pt 3.31
Pt 0.2753 0.2753 0.1740  3 Si 2.41
Pt 0.7247 0.7247 0.8260  3 Si 2.41